(1)
12
Lattice="2.9373 -5.0733 0.0000 2.9373 5.0733 0.0000 -1.9697 0.0000 5.4834" Properties=species:S:1:pos:R:3 comment="Pu2Np3TiN6 | the Alexandria database | PBE | relaxed" e_form_raw_kj_per_mol_fu=-1367 pbc="T T T"
Pu 2.9373 3.3791 0.0000
Pu 2.9373 -3.3791 0.0000
Np -0.9849 0.0000 2.7417
Np 1.9524 1.6928 2.7417
Np 1.9524 -1.6928 2.7417
Ti 2.9373 0.0000 0.0000
N 0.0483 1.5661 4.1611
N 1.0954 0.0000 1.3536
N 0.0483 -1.5661 4.1611
N 3.8566 1.5661 1.3223
N 2.8095 0.0000 4.1298
N 3.8566 -1.5661 1.3223

---

(2)
10
Lattice="4.2339 0.0000 0.0000 -0.0001 6.4895 0.0000 -0.0009 -0.4396 6.7678" Properties=species:S:1:pos:R:3 comment="ZnCd3Pd | the Alexandria database | PBE | relaxed" relative_energy_mev_per_atom=0 pbc="T T T"
Zn 0.0000 0.0000 0.0000
Zn 2.1132 0.2103 4.7286
Cd 2.1122 2.8555 3.2726
Cd 2.1130 4.1496 6.2108
Cd 4.2287 0.9128 2.5288
Cd 4.2301 2.0252 5.3892
Cd 4.2296 3.7377 1.3210
Cd 4.2292 4.8866 4.1195
Pd 2.1113 5.5584 2.1648
Pd 2.1152 1.6696 0.4990

---

(3)
8
Lattice="4.1672 0.0000 0.0000 0.0000 4.6913 0.0000 0.0000 0.0000 8.7672" Properties=species:S:1:pos:R:3 comment="ZrAl2Te | the Alexandria database | PBE | relaxed" e_form_raw_kj_per_mol_fu=3 pbc="T T T"
Zr 0.0000 0.0000 0.0000
Zr 2.0836 2.3456 0.0000
Al 0.0000 2.3456 1.9961
Al 0.0000 2.3456 6.7712
Al 2.0836 0.0000 1.9961
Al 2.0836 0.0000 6.7712
Te 0.0000 0.0000 4.3836
Te 2.0836 2.3456 4.3836